The following is a GGA-PBEsol calculation of KSb2Rh after structural relaxation, from the Alexandria database.

Output
For the relative energy among the computed polymorphs, the calculation gives 109 meV per atom. The calculation puts the uncorrected formation energy at -26.3 kJ per mole of atoms.

Cell: 3.367 3.234 9.375 Å, 99.93 100.34 90.00°
Fractional positions:
K: 0.558 0.558 0.116
Rh: 0.302 0.802 0.605
Sb: 0.914 0.914 0.828
Sb: 0.726 0.226 0.451



The following is a GGA-PBEsol calculation of Mg2ScAgPt after structural relaxation, from the Alexandria database.

Output
The energy of formation comes out at 36.6 kJ per mole of atoms.

Cell: 4.780 4.780 5.025 Å, 90.00 90.00 90.00°
Fractional positions:
Sc: 0.000 0.000 0.500
Mg: 0.000 0.500 0.000
Mg: 0.500 0.000 0.000
Ag: 0.000 0.000 0.000
Pt: 0.500 0.500 0.500



The following is a GGA-PBEsol calculation of Zn3Mo2 after structural relaxation, from the Alexandria database.

Output
The energy of formation comes out at 39.6 kJ per mole of atoms.

Cell: 4.292 4.292 5.265 Å, 90.00 90.00 120.00°
Fractional positions:
Mo: 0.333 0.667 0.896
Mo: 0.667 0.333 0.104
Zn: 0.000 0.000 0.000
Zn: 0.333 0.667 0.391
Zn: 0.667 0.333 0.609



The following is a GGA-PBEsol calculation of YGa2Ge2 after structural relaxation, from the Alexandria database.

Output
The energy of formation comes out at -25.0 kJ per mole of atoms.

Cell: 3.917 3.917 7.070 Å, 106.08 106.08 90.00°
Fractional positions:
Y: 0.000 0.000 0.000
Ge: 0.402 0.402 0.803
Ge: 0.598 0.598 0.197
Ga: 0.250 0.750 0.500
Ga: 0.750 0.250 0.500



The following is a GGA-PBEsol calculation of Sc2Te after structural relaxation, from the Alexandria database.

Output
The calculation puts the uncorrected formation energy at -52.5 kJ per mole of atoms.

Cell: 5.677 6.136 5.677 Å, 62.45 90.00 117.55°
Site moments in Bohr magnetons follow the coordinates.
Fractional positions:
Sc: 0.812 0.623 0.188  0.23
Sc: 0.938 0.877 0.562  0.23
Sc: 0.188 0.377 0.812  0.23
Sc: 0.562 0.123 0.938  0.23
Te: 0.500 0.000 0.500  0.01
Te: 0.250 0.500 0.250  0.01



The following is a GGA-PBEsol calculation of Ta2CoBr after structural relaxation, from the Alexandria database.

Output
For the relative energy among the computed polymorphs, the calculation gives 118 meV per atom. The calculation puts the uncorrected formation energy at 30.8 kJ per mole of atoms.

Cell: 2.953 2.953 8.074 Å, 90.00 90.00 108.34°
Fractional positions:
Co: 0.500 0.500 0.234
Br: 0.000 0.000 0.492
Ta: 0.000 0.000 0.024
Ta: 0.500 0.500 0.750



The following is a GGA-PBEsol calculation of Zr7As4 after structural relaxation, from the Alexandria database.

Output
The energy of formation comes out at -103.5 kJ per mole of atoms.

Cell: 3.660 8.271 14.953 Å, 104.35 90.00 102.78°
Fractional positions:
As: 0.177 0.354 0.109
As: 0.823 0.646 0.891
As: 0.372 0.744 0.600
As: 0.628 0.256 0.400
As: 0.370 0.741 0.339
As: 0.630 0.259 0.661
As: 0.062 0.125 0.850
As: 0.938 0.875 0.150
Zr: 0.000 0.000 0.000
Zr: 0.500 0.000 0.500
Zr: 0.430 0.861 0.832
Zr: 0.570 0.139 0.168
Zr: 0.196 0.392 0.308
Zr: 0.804 0.608 0.692
Zr: 0.206 0.412 0.796
Zr: 0.794 0.588 0.204
Zr: 0.338 0.677 0.033
Zr: 0.662 0.323 0.967
Zr: 0.002 0.005 0.664
Zr: 0.998 0.995 0.336
Zr: 0.179 0.358 0.544
Zr: 0.821 0.642 0.456



The following is a GGA-PBEsol calculation of In3Hg after structural relaxation, from the Alexandria database.

Output
The energy of formation comes out at 0.1 kJ per mole of atoms.

Cell: 3.263 3.263 10.744 Å, 90.00 90.00 120.00°
Fractional positions:
Hg: 0.000 0.000 0.000
In: 0.000 0.000 0.500
In: 0.333 0.667 0.758
In: 0.333 0.667 0.242



The following is a GGA-PBEsol calculation of Cs3YO3 after structural relaxation, from the Alexandria database.

Output
For the relative energy among the computed polymorphs, the calculation gives 14 meV per atom. The calculation puts the uncorrected formation energy at -188.4 kJ per mole of atoms.

Cell: 7.427 7.427 7.551 Å, 95.64 95.64 116.45°
Fractional positions:
Cs: 0.645 0.645 0.354
Cs: 0.212 0.788 0.500
Cs: 0.788 0.212 0.500
Cs: 0.262 0.738 0.000
Cs: 0.738 0.262 0.000
Cs: 0.355 0.355 0.646
Y: 0.827 0.827 0.847
Y: 0.173 0.173 0.153
O: 0.894 0.894 0.140
O: 0.561 0.835 0.732
O: 0.835 0.561 0.732
O: 0.165 0.439 0.268
O: 0.439 0.165 0.268
O: 0.106 0.106 0.860



The following is a GGA-PBEsol calculation of MgZn2Cd after structural relaxation, from the Alexandria database.

Output
For the relative energy among the computed polymorphs, the calculation gives 51 meV per atom. The energy of formation comes out at 1.6 kJ per mole of atoms.

Cell: 3.279 4.719 4.719 Å, 104.16 90.00 90.00°
Fractional positions:
Cd: 0.500 0.000 0.000
Mg: 0.500 0.500 0.500
Zn: 0.000 0.500 0.000
Zn: 0.000 0.000 0.500



The following is a GGA-PBEsol calculation of ZrCrIn after structural relaxation, from the Alexandria database.

Output
For the relative energy among the computed polymorphs, the calculation gives 185 meV per atom. The energy of formation comes out at 85.0 kJ per mole of atoms.

Cell: 4.645 4.645 4.645 Å, 60.00 60.00 60.00°
Site moments in Bohr magnetons follow the coordinates.
Fractional positions:
Cr: 0.000 0.000 0.000  3.55
In: 0.500 0.500 0.500  -0.07
Zr: 0.750 0.750 0.750  0.12



The following is a GGA-PBEsol calculation of Ba2ReMo after structural relaxation, from the Alexandria database.

Output
For the relative energy among the computed polymorphs, the calculation gives 24 meV per atom. The energy of formation comes out at 153.4 kJ per mole of atoms.

Cell: 2.933 2.933 11.150 Å, 90.00 90.00 90.15°
Fractional positions:
Ba: 0.000 0.000 0.246
Ba: 0.000 0.000 0.754
Mo: 0.500 0.500 0.500
Re: 0.500 0.500 0.000